Entry from OQMD: a geometry-optimized NdCo2 structure (PBE).

Its magnetic moment is 6.8 μB per cell. Its energy is -6.353 eV per atom. The value obtained for the formation energy is -0.03 eV/atom.

The space group is I4_1/amd (No. 141, origin choice 2) and the conventional cell measures 5.155, 5.155 and 7.264 Å, with angles of 90.00, 90.00 and 90.00 degrees. The asymmetric unit holds Nd at (0.000, 0.250, 0.375) and Co at (0.000, 0.000, 0.000).